CeAl4Pt12, optimized geometry, DFT GGA-PBE; total DFT energy (no corrections) = -5.83 eV per atom; space group = No. 204
1.0
7.397 0.000 0.000
-2.466 6.974 0.000
-2.466 -3.487 6.040
Pt Ce Al
12 1 4
direct
0.809 0.153 0.656 Pt
0.344 0.497 0.153 Pt
0.656 0.809 0.153 Pt
0.503 0.847 0.656 Pt
0.656 0.503 0.847 Pt
0.497 0.153 0.344 Pt
0.344 0.191 0.847 Pt
0.153 0.656 0.809 Pt
0.153 0.344 0.497 Pt
0.847 0.344 0.191 Pt
0.847 0.656 0.503 Pt
0.191 0.847 0.344 Pt
0.000 0.000 0.000 Ce
0.500 0.500 0.500 Al
0.500 0.000 0.000 Al
0.000 0.000 0.500 Al
0.000 0.500 0.000 Al



CeAlPt3, optimized geometry, DFT GGA-PBE; total DFT energy (no corrections) = -6.30 eV per atom; space group = No. 55
1.0
-2.912 -3.334 2.535
-0.620 -2.976 -4.625
5.859 -3.838 1.683
Pt Ce Al
6 2 2
direct
0.000 0.612 0.325 Pt
0.500 0.500 0.000 Pt
0.000 0.888 0.825 Pt
0.000 0.388 0.675 Pt
0.000 0.112 0.175 Pt
0.500 0.000 0.500 Pt
0.500 0.500 0.500 Ce
0.500 0.000 0.000 Ce
0.000 0.000 0.500 Al
0.000 0.500 0.000 Al



Ce4AlPt, optimized geometry, DFT GGA-PBE; total DFT energy (no corrections) = -5.95 eV per atom; space group = No. 63
1.0
-1.477 -3.291 -3.913
5.097 -3.454 0.981
-4.338 -3.961 8.588
Ce Al Pt
8 2 2
direct
0.286 0.040 0.572 Ce
0.902 0.322 0.805 Ce
0.098 0.822 0.195 Ce
0.286 0.604 0.572 Ce
0.714 0.540 0.428 Ce
0.714 0.104 0.428 Ce
0.443 0.822 0.885 Ce
0.557 0.322 0.115 Ce
0.153 0.322 0.305 Al
0.847 0.822 0.695 Al
0.413 0.322 0.826 Pt
0.587 0.822 0.174 Pt



Ce2AlPt6, optimized geometry, DFT GGA-PBE; offset from the most stable computed form = 0.0 kJ/mol of atoms; space group = No. 164
1.0
5.969 -0.030 -0.017
0.029 5.699 0.006
0.029 2.844 4.938
Pt Al Ce
6 1 2
direct
0.308 0.344 0.828 Pt
0.692 0.172 0.656 Pt
0.692 0.172 0.172 Pt
0.308 0.828 0.344 Pt
0.308 0.828 0.828 Pt
0.692 0.656 0.172 Pt
0.000 0.000 0.000 Al
0.827 0.667 0.667 Ce
0.173 0.333 0.333 Ce



CeAl2Pt4, optimized geometry, DFT GGA-PBE; total DFT energy (no corrections) = -6.35 eV per atom; space group = No. 62
1.0
4.192 0.000 0.000
0.000 7.166 0.000
0.000 0.000 16.600
Al Ce Pt
8 4 16
direct
0.250 0.753 0.021 Al
0.750 0.397 0.690 Al
0.250 0.897 0.810 Al
0.750 0.247 0.979 Al
0.750 0.103 0.190 Al
0.250 0.603 0.310 Al
0.250 0.747 0.521 Al
0.750 0.253 0.479 Al
0.250 0.062 0.352 Ce
0.750 0.938 0.648 Ce
0.750 0.562 0.148 Ce
0.250 0.438 0.852 Ce
0.250 0.058 0.946 Pt
0.750 0.383 0.328 Pt
0.250 0.099 0.545 Pt
0.250 0.307 0.213 Pt
0.750 0.942 0.054 Pt
0.750 0.901 0.455 Pt
0.250 0.442 0.446 Pt
0.250 0.401 0.045 Pt
0.750 0.117 0.828 Pt
0.750 0.558 0.554 Pt
0.750 0.599 0.955 Pt
0.750 0.807 0.287 Pt
0.250 0.617 0.672 Pt
0.750 0.693 0.787 Pt
0.250 0.883 0.172 Pt
0.250 0.193 0.713 Pt



CeAl2Pt, optimized geometry, DFT GGA-PBE; total DFT energy (no corrections) = -5.67 eV per atom; space group = No. 166
1.0
4.249 0.000 0.000
2.125 3.680 0.000
2.125 1.227 5.309
Ce Al Pt
1 2 1
direct
0.500 0.500 0.500 Ce
0.710 0.710 0.870 Al
0.290 0.290 0.130 Al
0.000 0.000 0.000 Pt



CeAl4Pt2, optimized geometry, DFT GGA-PBE; offset from the most stable computed form = 0.0 kJ/mol of atoms; space group = No. 62
1.0
4.327 0.000 0.000
0.000 6.684 0.000
0.000 0.000 17.276
Al Pt Ce
16 8 4
direct
0.250 0.827 0.185 Al
0.250 0.166 0.535 Al
0.250 0.227 0.193 Al
0.250 0.492 0.429 Al
0.750 0.327 0.315 Al
0.250 0.334 0.035 Al
0.750 0.727 0.307 Al
0.250 0.008 0.929 Al
0.750 0.773 0.807 Al
0.750 0.508 0.571 Al
0.750 0.834 0.465 Al
0.750 0.992 0.071 Al
0.750 0.173 0.815 Al
0.750 0.666 0.965 Al
0.250 0.273 0.693 Al
0.250 0.673 0.685 Al
0.750 0.245 0.462 Pt
0.250 0.745 0.038 Pt
0.750 0.470 0.717 Pt
0.250 0.755 0.538 Pt
0.750 0.255 0.962 Pt
0.750 0.030 0.217 Pt
0.250 0.530 0.283 Pt
0.250 0.970 0.783 Pt
0.250 0.488 0.862 Ce
0.750 0.988 0.638 Ce
0.750 0.512 0.138 Ce
0.250 0.012 0.362 Ce



Ce2AlPt5, optimized geometry, DFT GGA-PBE; total DFT energy (no corrections) = -6.65 eV per atom; space group = No. 107
1.0
5.969 0.144 0.205
-2.813 5.266 -0.205
-2.813 -1.984 4.882
Pt Ce Al
5 2 1
direct
0.549 0.283 0.283 Pt
0.000 0.253 0.253 Pt
0.451 0.733 0.733 Pt
0.000 0.283 0.733 Pt
0.000 0.733 0.283 Pt
0.500 0.751 0.251 Ce
0.500 0.251 0.751 Ce
0.000 0.935 0.935 Al



CeAl2Pt, optimized geometry, DFT GGA-PBE; total DFT energy (no corrections) = -5.74 eV per atom; space group = No. 63
1.0
4.379 0.003 0.000
-2.190 5.164 0.000
0.000 0.000 6.940
Ce Al Pt
2 4 2
direct
0.923 0.847 0.250 Ce
0.077 0.153 0.750 Ce
0.360 0.720 0.554 Al
0.640 0.280 0.446 Al
0.360 0.720 0.946 Al
0.640 0.280 0.054 Al
0.209 0.418 0.250 Pt
0.791 0.582 0.750 Pt



CeAl2Pt, optimized geometry, DFT GGA-PBE; total DFT energy (no corrections) = -5.71 eV per atom; space group = No. 62
1.0
5.646 0.000 0.000
0.000 6.949 0.000
0.000 0.000 16.163
Al Ce Pt
16 8 8
direct
0.967 0.444 0.213 Al
0.533 0.056 0.713 Al
0.749 0.555 0.036 Al
0.751 0.555 0.536 Al
0.467 0.556 0.287 Al
0.249 0.055 0.464 Al
0.033 0.944 0.787 Al
0.467 0.944 0.287 Al
0.533 0.444 0.713 Al
0.751 0.945 0.536 Al
0.249 0.445 0.464 Al
0.251 0.445 0.964 Al
0.749 0.945 0.036 Al
0.251 0.055 0.964 Al
0.967 0.056 0.213 Al
0.033 0.556 0.787 Al
0.240 0.750 0.105 Ce
0.975 0.750 0.355 Ce
0.740 0.250 0.395 Ce
0.260 0.750 0.605 Ce
0.475 0.250 0.145 Ce
0.025 0.250 0.645 Ce
0.760 0.250 0.895 Ce
0.525 0.750 0.855 Ce
0.725 0.750 0.176 Pt
0.507 0.250 0.572 Pt
0.993 0.250 0.072 Pt
0.775 0.750 0.676 Pt
0.493 0.750 0.428 Pt
0.007 0.750 0.928 Pt
0.225 0.250 0.324 Pt
0.275 0.250 0.824 Pt



Ce2Al5Pt4, optimized geometry, DFT GGA-PBE; total DFT energy (no corrections) = -5.96 eV per atom; space group = No. 69
1.0
-2.660 0.078 -4.793
-4.363 -3.252 -0.767
-6.128 5.825 0.361
Pt Ce Al
4 2 5
direct
0.476 0.311 0.737 Pt
0.787 0.689 0.737 Pt
0.524 0.689 0.263 Pt
0.213 0.311 0.263 Pt
0.131 0.000 0.739 Ce
0.869 0.000 0.261 Ce
0.000 0.500 0.000 Al
0.250 0.500 0.500 Al
0.750 0.500 0.500 Al
0.500 0.000 0.000 Al
0.500 0.500 0.000 Al



Ce3AlPt12, optimized geometry, DFT GGA-PBE; total DFT energy (no corrections) = -6.78 eV per atom; space group = No. 123
1.0
-0.329 0.765 -4.043
-4.112 0.086 0.351
0.588 16.020 2.982
Pt Ce Al
12 3 1
direct
0.500 0.500 0.000 Pt
0.500 0.000 0.371 Pt
0.000 0.500 0.886 Pt
0.000 0.500 0.114 Pt
0.500 0.500 0.500 Pt
0.500 0.500 0.241 Pt
0.000 0.500 0.371 Pt
0.500 0.000 0.114 Pt
0.500 0.000 0.629 Pt
0.000 0.500 0.629 Pt
0.500 0.500 0.759 Pt
0.500 0.000 0.886 Pt
0.000 0.000 0.241 Ce
0.000 0.000 0.759 Ce
0.000 0.000 0.500 Ce
0.000 0.000 0.000 Al